Computed, not measured: a geometry-optimized B5C7 structure at the PBE level of DFT.

Cell lengths 14.386, 2.527, 4.495 Å; angles 90.00, 107.81, 90.00 degrees
Space group Cm (No. 8)
Symmetry-distinct sites (fractional):
B1 0.000 0.000 0.000 [2 per cell]
B2 0.001 0.500 0.478 [2 per cell]
B3 0.075 0.000 0.740 [2 per cell]
B4 0.077 0.500 0.216 [2 per cell]
B5 0.344 0.000 0.652 [2 per cell]
C1 0.192 0.000 0.845 [2 per cell]
C2 0.192 0.500 0.341 [2 per cell]
C3 0.226 0.000 0.544 [2 per cell]
C4 0.231 0.500 0.048 [2 per cell]
C5 0.346 0.500 0.162 [2 per cell]
C6 0.385 0.000 0.362 [2 per cell]
C7 0.387 0.500 0.892 [2 per cell]

* spin magnetization: 0.00 μB per cell
* DOS at the Fermi energy: 0.17 states/eV/atom
* energy relative to the elements: 0.346 eV/atom
* energy above the lowest structure with this stoichiometry: 88 meV/atom
* DFT total energy: -7.817 eV/atom


Computed, not measured: a geometry-optimized AlCu2Ru structure at the PBE level of DFT.

Cell lengths 2.902, 4.144, 8.663 Å; angles 90.00, 90.00, 90.00 degrees
Space group Immm (No. 71)
Symmetry-distinct sites (fractional):
Al1 0.000 0.000 0.000 [2 per cell]
Cu1 0.000 0.500 0.256 [4 per cell]
Ru1 0.000 0.000 0.500 [2 per cell]

* spin magnetization: 0.00 μB per cell
* DOS at the Fermi energy: 0.58 states/eV/atom
* energy relative to the elements: -0.147 eV/atom
* DFT total energy: -5.450 eV/atom


Computed, not measured: a geometry-optimized BaGdAu structure at the PBE level of DFT.

Cell lengths 3.869, 3.869, 13.730 Å; angles 90.00, 90.00, 90.00 degrees
Space group I4mm (No. 107)
Symmetry-distinct sites (fractional):
Ba1 0.000 0.000 0.000 [2 per cell]
Gd1 0.000 0.000 0.264 [2 per cell]
Au1 0.000 0.000 0.671 [2 per cell]

* spin magnetization: 14.63 μB per cell
* DOS at the Fermi energy: 1.29 states/eV/atom
* energy relative to the elements: -0.459 eV/atom
* DFT total energy: -6.886 eV/atom


Computed, not measured: a geometry-optimized La4Tb2Dy2Tm structure at the PBE level of DFT.

Cell lengths 15.448, 5.161, 8.081 Å; angles 90.00, 108.64, 90.00 degrees
Space group C2/m (No. 12)
Symmetry-distinct sites (fractional):
La1 0.054 0.000 0.329 [4 per cell]
La2 0.223 0.500 0.332 [4 per cell]
Tb1 0.112 0.500 0.672 [4 per cell]
Dy1 0.167 0.000 0.000 [4 per cell]
Tm1 0.000 0.500 0.000 [2 per cell]

* spin magnetization: 0.00 μB per cell
* DOS at the Fermi energy: 1.77 states/eV/atom
* energy relative to the elements: 0.032 eV/atom
* DFT total energy: -4.707 eV/atom


Computed, not measured: a geometry-optimized NaSrHoHg structure at the PBE level of DFT.

Cell lengths 7.867, 7.867, 7.867 Å; angles 90.00, 90.00, 90.00 degrees
Space group F-43m (No. 216)
Symmetry-distinct sites (fractional):
Na1 0.000 0.000 0.000 [4 per cell]
Sr1 0.250 0.250 0.750 [4 per cell]
Ho1 0.250 0.250 0.250 [4 per cell]
Hg1 0.000 0.000 0.500 [4 per cell]

* spin magnetization: 0.00 μB per cell
* DOS at the Fermi energy: 0.67 states/eV/atom
* energy relative to the elements: -0.060 eV/atom
* DFT total energy: -2.030 eV/atom


Computed, not measured: a geometry-optimized MgAlCdGe structure at the PBE level of DFT.

Cell lengths 6.852, 6.852, 6.852 Å; angles 90.00, 90.00, 90.00 degrees
Space group F-43m (No. 216)
Symmetry-distinct sites (fractional):
Mg1 0.000 0.000 0.000 [4 per cell]
Al1 0.000 0.000 0.500 [4 per cell]
Cd1 0.250 0.250 0.750 [4 per cell]
Ge1 0.250 0.250 0.250 [4 per cell]

* spin magnetization: 0.00 μB per cell
* DOS at the Fermi energy: 0.69 states/eV/atom
* energy relative to the elements: 0.119 eV/atom
* DFT total energy: -2.598 eV/atom


Computed, not measured: a geometry-optimized NbCr2Ir structure at the PBE level of DFT.

Cell lengths 6.917, 6.917, 5.138 Å; angles 90.00, 90.00, 90.00 degrees
Space group I-42d (No. 122)
Symmetry-distinct sites (fractional):
Nb1 0.000 0.000 0.000 [4 per cell]
Cr1 0.233 0.750 0.625 [8 per cell]
Ir1 0.000 0.000 0.500 [4 per cell]

* spin magnetization: 0.00 μB per cell
* DOS at the Fermi energy: 1.24 states/eV/atom
* energy relative to the elements: 0.560 eV/atom
* energy above the lowest structure with this stoichiometry: 557 meV/atom
* DFT total energy: -8.984 eV/atom


Computed, not measured: a geometry-optimized DyCdGaAg structure at the PBE level of DFT.

Cell lengths 6.937, 6.937, 6.937 Å; angles 90.00, 90.00, 90.00 degrees
Space group F-43m (No. 216)
Symmetry-distinct sites (fractional):
Dy1 0.000 0.000 0.000 [4 per cell]
Cd1 0.000 0.000 0.500 [4 per cell]
Ga1 0.250 0.250 0.250 [4 per cell]
Ag1 0.250 0.250 0.750 [4 per cell]

* spin magnetization: 0.00 μB per cell
* DOS at the Fermi energy: 0.60 states/eV/atom
* energy relative to the elements: -0.340 eV/atom
* DFT total energy: -3.189 eV/atom


Computed, not measured: a geometry-optimized TcIrBr3 structure at the PBE level of DFT.

Cell lengths 5.084, 5.084, 5.084 Å; angles 90.00, 90.00, 90.00 degrees
Space group Pm-3m (No. 221)
Symmetry-distinct sites (fractional):
Tc1 0.000 0.000 0.000 [1 per cell]
Ir1 0.500 0.500 0.500 [1 per cell]
Br1 0.000 0.500 0.500 [3 per cell]

* spin magnetization: 4.90 μB per cell
* DOS at the Fermi energy: 0.86 states/eV/atom
* energy above the lowest structure with this stoichiometry: 0 meV/atom
* DFT total energy: -3.870 eV/atom
* energy relative to the elements, uncorrected: 0.979 eV per atom


Computed, not measured: a geometry-optimized CoTc structure at the PBE level of DFT.

Cell lengths 2.618, 12.847, 4.462 Å; angles 90.00, 90.00, 90.00 degrees
Space group Amm2 (No. 38)
Symmetry-distinct sites (fractional):
Co1 0.000 0.000 0.000 [2 per cell]
Co2 0.500 0.152 0.829 [4 per cell]
Tc1 0.000 0.179 0.312 [4 per cell]
Tc2 0.500 0.000 0.498 [2 per cell]

* spin magnetization: 2.69 μB per cell
* DOS at the Fermi energy: 1.22 states/eV/atom
* energy relative to the elements: 0.086 eV/atom
* energy above the lowest structure with this stoichiometry: 134 meV/atom
* DFT total energy: -8.650 eV/atom


Computed, not measured: a geometry-optimized Hg2Se structure at the PBE level of DFT.

Cell lengths 3.0771, 3.0771, 27.8735 Å; angles 90.00, 90.00, 120.00 degrees
Space group P-3m1 (No. 164)
Symmetry-distinct sites (fractional):
Hg1 0.0000 0.0000 0.0570 [2 per cell]
Hg2 0.3333 0.6667 0.6111 [2 per cell]
Hg3 0.3333 0.6667 0.7230 [2 per cell]
Se1 0.0000 0.0000 0.5000 [1 per cell]
Se2 0.3333 0.6667 0.8305 [2 per cell]

* spin magnetization: 0.00 μB per cell
* DOS at the Fermi energy: 0.76 states/eV/atom
* energy above the lowest structure with this stoichiometry: 289 meV/atom
* DFT total energy: -1.165 eV/atom
* energy relative to the elements, uncorrected: 0.198 eV per atom


Computed, not measured: a geometry-optimized Ce6PdPt5 structure at the PBE level of DFT.

Cell lengths 7.175, 12.424, 7.173 Å; angles 90.00, 109.47, 90.00 degrees
Space group C2/m (No. 12)
Symmetry-distinct sites (fractional):
Ce1 0.247 0.000 0.251 [4 per cell]
Ce2 0.248 0.168 0.748 [8 per cell]
Pd1 0.000 0.500 0.000 [2 per cell]
Pt1 0.000 0.000 0.500 [2 per cell]
Pt2 0.000 0.167 0.000 [4 per cell]
Pt3 0.000 0.335 0.500 [4 per cell]

* spin magnetization: 6.44 μB per cell
* DOS at the Fermi energy: 2.58 states/eV/atom
* energy relative to the elements: -0.973 eV/atom
* DFT total energy: -6.889 eV/atom


Computed, not measured: a geometry-optimized CaAc2Ga3 structure at the PBE level of DFT.

Cell lengths 3.821, 3.821, 11.694 Å; angles 90.00, 90.00, 90.00 degrees
Space group P4/mmm (No. 123)
Symmetry-distinct sites (fractional):
Ca1 0.000 0.000 0.000 [1 per cell]
Ac1 0.000 0.000 0.325 [2 per cell]
Ga1 0.500 0.500 0.142 [2 per cell]
Ga2 0.500 0.500 0.500 [1 per cell]

* spin magnetization: 0.00 μB per cell
* DOS at the Fermi energy: 0.74 states/eV/atom
* energy relative to the elements: -0.432 eV/atom
* DFT total energy: -3.649 eV/atom


Computed, not measured: a geometry-optimized Ca2Nb2BiO8 structure at the PBE level of DFT.

Cell lengths 21.311, 6.409, 5.751 Å; angles 90.00, 94.12, 90.00 degrees
Space group C2/c (No. 15)
Symmetry-distinct sites (fractional):
Ca1 0.212 0.173 0.242 [8 per cell]
Nb1 0.129 0.365 0.675 [8 per cell]
Bi1 0.000 0.095 0.250 [4 per cell]
O1 0.072 0.167 0.771 [8 per cell]
O2 0.091 0.374 0.338 [8 per cell]
O3 0.189 0.428 0.976 [8 per cell]
O4 0.194 0.159 0.627 [8 per cell]

* spin magnetization: 0.00 μB per cell
* DOS at the Fermi energy: 0.13 states/eV/atom
* DFT total energy: -7.671 eV/atom
* energy relative to the elements, uncorrected: -2.465 eV per atom


Computed, not measured: a geometry-optimized BaYIn structure at the PBE level of DFT.

Cell lengths 3.9161, 3.9161, 8.5211 Å; angles 90.00, 90.00, 120.00 degrees
Space group P3m1 (No. 156)
Symmetry-distinct sites (fractional):
Ba1 0.0000 0.0000 0.0000 [1 per cell]
Y1 0.3333 0.6667 0.5922 [1 per cell]
In1 0.6667 0.3333 0.3245 [1 per cell]

* spin magnetization: 0.40 μB per cell
* DOS at the Fermi energy: 1.09 states/eV/atom
* energy relative to the elements: -0.043 eV/atom
* energy above the lowest structure with this stoichiometry: 294 meV/atom
* DFT total energy: -3.752 eV/atom


Computed, not measured: a geometry-optimized PmDy6Y2Er structure at the PBE level of DFT.

Cell lengths 9.139, 15.033, 9.468 Å; angles 90.00, 96.23, 90.00 degrees
Space group C2/c (No. 15)
Symmetry-distinct sites (fractional):
Pm1 0.000 0.028 0.250 [4 per cell]
Dy1 0.061 0.185 0.943 [8 per cell]
Dy2 0.098 0.389 0.117 [8 per cell]
Dy3 0.210 0.225 0.315 [8 per cell]
Y1 0.247 0.448 0.453 [8 per cell]
Er1 0.000 0.410 0.750 [4 per cell]

* spin magnetization: 0.00 μB per cell
* DOS at the Fermi energy: 1.48 states/eV/atom
* energy relative to the elements: 0.124 eV/atom
* DFT total energy: -4.861 eV/atom